Record 1
GGA+U GaCo2O4, optimized geometry; magnetization = 1.00 μB/atom; E_tot = -6.03 eV/atom; mass density = 5661 kg/m³; space group = C2/c (15)
1.0
5.1639 -2.9565 0.0000
5.1639 2.9565 0.0000
-3.4501 0.0000 9.6682
Ga Co O
4 8 16
Cartesian
0.8332 1.5005 6.6152
4.3193 1.5005 7.8871
2.5583 -1.5005 1.7811
6.0444 -1.5005 3.0530
0.0000 0.0000 0.0000
-1.7251 0.0000 4.8341
2.5819 1.4783 0.0000
4.3014 1.4478 2.4170
0.8569 -1.4783 4.8341
5.1639 0.0000 0.0000
3.4388 0.0000 4.8341
2.5763 -1.4478 7.2511
-1.7311 0.0853 8.5030
0.8123 1.4381 8.5090
-0.0060 -0.0853 3.6689
2.6485 1.4295 3.6931
3.4607 0.0331 1.1420
5.9543 1.4295 1.1410
1.7356 -0.0331 5.9761
4.3403 1.4381 5.9933
2.5374 -1.4381 3.6749
5.1421 0.0331 3.6921
0.9234 -1.4295 8.5272
3.4170 -0.0331 8.5261
4.2292 -1.4295 5.9751
6.8837 0.0853 5.9993
6.0653 -1.4381 1.1592
8.6087 -0.0853 1.1652

---

Record 2
GGA+U GaCoO2, optimized geometry; magnetization = 0.61 μB/atom; E_tot = -5.62 eV/atom; DOS at the Fermi energy = 8.8 states/eV/cell; mass density = 5378 kg/m³; space group = I-42d (122)
1.0
4.6782 0.0000 0.0000
0.0000 4.6782 0.0000
0.0000 0.0000 9.0661
Ga Co O
4 4 8
Cartesian
0.0000 0.0000 0.0000
0.0000 2.3391 2.2665
2.3391 0.0000 6.7996
2.3391 2.3391 4.5330
0.0000 0.0000 4.5330
0.0000 2.3391 6.7996
2.3391 0.0000 2.2665
2.3391 2.3391 0.0000
1.0358 1.1696 1.1333
1.1696 3.3749 3.3998
1.1696 3.6425 7.9328
1.3033 1.1696 5.6663
3.3749 3.5087 5.6663
3.5087 1.0358 7.9328
3.5087 1.3033 3.3998
3.6425 3.5087 1.1333

---

Record 3
GGA+U GaCoO2, optimized geometry; magnetization = 0.53 μB/atom; E_tot = -5.72 eV/atom; DOS at the Fermi energy = 0.6 states/eV/cell; mass density = 5750 kg/m³; space group = R-3m (166)
1.0
3.0234 0.0000 0.0000
-1.5117 2.6183 0.0000
0.0000 0.0000 17.5833
Ga Co O
3 3 6
Cartesian
0.0000 0.0000 0.0000
0.0000 1.7456 11.7222
1.5117 0.8728 5.8611
0.0000 0.0000 8.7917
0.0000 1.7456 2.9306
1.5117 0.8728 14.6528
0.0000 0.0000 6.8851
0.0000 0.0000 10.6982
0.0000 1.7456 1.0240
0.0000 1.7456 4.8371
1.5117 0.8728 12.7463
1.5117 0.8728 16.5593

---

Record 4
GGA+U GaCo2O, optimized geometry; magnetization = 0.79 μB/atom; excess energy over the best structure of this formula in the dataset = 589.4 meV/atom; DOS at the Fermi energy = 24.8 states/eV/cell; mass density = 7500 kg/m³; space group = Fm-3m (225)
1.0
5.6493 0.0000 0.0000
0.0000 5.6493 0.0000
0.0000 0.0000 5.6493
Ga Co O
4 8 4
Cartesian
0.0000 0.0000 0.0000
0.0000 2.8246 2.8246
2.8246 0.0000 2.8246
2.8246 2.8246 0.0000
1.4123 1.4123 1.4123
1.4123 1.4123 4.2369
1.4123 4.2369 1.4123
1.4123 4.2369 4.2369
4.2369 1.4123 1.4123
4.2369 1.4123 4.2369
4.2369 4.2369 1.4123
4.2369 4.2369 4.2369
0.0000 0.0000 2.8246
0.0000 2.8246 0.0000
2.8246 0.0000 0.0000
2.8246 2.8246 2.8246

---

Record 5
GGA+U Ga3CoO, optimized geometry; magnetization = 0.41 μB/atom; excess energy over the best structure of this formula in the dataset = 0.0 meV/atom; DOS at the Fermi energy = 1.6 states/eV/cell; mass density = 5720 kg/m³; space group = Pm-3m (221)
1.0
4.3529 0.0000 0.0000
0.0000 4.3529 0.0000
0.0000 0.0000 4.3529
Ga Co O
3 1 1
Cartesian
0.0000 0.0000 2.1764
0.0000 2.1764 0.0000
2.1764 0.0000 0.0000
2.1764 2.1764 2.1764
0.0000 0.0000 0.0000

---

Record 6
GGA+U GaCoO3, optimized geometry; magnetization = 0.80 μB/atom; E_tot = -5.19 eV/atom; DOS at the Fermi energy = 2.3 states/eV/cell; mass density = 5466 kg/m³; space group = Pm-3m (221)
1.0
3.7720 0.0000 0.0000
0.0000 3.7720 0.0000
0.0000 0.0000 3.7720
Ga Co O
1 1 3
Cartesian
0.0000 0.0000 0.0000
1.8860 1.8860 1.8860
0.0000 0.0000 1.8860
0.0000 1.8860 0.0000
1.8860 0.0000 0.0000

---

Record 7
GGA+U GaCoO3, optimized geometry; magnetization = 0.00 μB/atom; E_tot = -5.50 eV/atom; mass density = 5848 kg/m³; space group = Fd-3m (227)
1.0
0.0000 4.6466 4.6466
4.6466 0.0000 4.6466
4.6466 4.6466 0.0000
Ga Co O
4 4 12
Cartesian
0.0000 0.0000 0.0000
2.3233 2.3233 0.0000
2.3233 0.0000 2.3233
0.0000 2.3233 2.3233
4.6466 2.3233 2.3233
2.3233 4.6466 2.3233
2.3233 2.3233 4.6466
4.6466 4.6466 4.6466
3.4850 3.4850 1.3559
3.4850 1.3559 3.4850
5.6141 3.4850 3.4850
5.8083 5.8083 3.6792
5.8083 3.6792 5.8083
7.9374 5.8083 5.8083
1.3559 3.4850 3.4850
3.4850 5.6141 3.4850
3.4850 3.4850 5.6141
3.6792 5.8083 5.8083
5.8083 7.9374 5.8083
5.8083 5.8083 7.9374

---

Record 8
GGA+U Ga3Co5O12, optimized geometry; magnetization = 0.60 μB/atom; E_tot = -5.78 eV/atom; DOS at the Fermi energy = 22.0 states/eV/cell; mass density = 5112 kg/m³; space group = Ia-3d (230)
1.0
-6.0916 6.0916 6.0916
6.0916 -6.0916 6.0916
6.0916 6.0916 -6.0916
Ga Co O
12 20 48
Cartesian
3.0458 1.5229 0.0000
6.0916 3.0458 -1.5229
1.5229 0.0000 3.0458
7.6145 0.0000 3.0458
0.0000 3.0458 1.5229
3.0458 -1.5229 6.0916
3.0458 7.6145 0.0000
6.0916 3.0458 4.5687
-1.5229 6.0916 3.0458
4.5687 6.0916 3.0458
0.0000 3.0458 7.6145
3.0458 4.5687 6.0916
0.0000 0.0000 0.0000
3.0458 3.0458 -3.0458
3.0458 -3.0458 3.0458
6.0916 0.0000 0.0000
9.1374 1.5229 0.0000
6.0916 -3.0458 4.5687
4.5687 6.0916 -3.0458
4.5687 0.0000 3.0458
3.0458 4.5687 0.0000
6.0916 3.0458 1.5229
-3.0458 3.0458 3.0458
0.0000 6.0916 0.0000
0.0000 0.0000 6.0916
3.0458 3.0458 3.0458
0.0000 3.0458 4.5687
3.0458 1.5229 6.0916
1.5229 6.0916 3.0458
1.5229 0.0000 9.1374
0.0000 9.1374 1.5229
-3.0458 4.5687 6.0916
4.8984 -2.9783 2.9939
10.3306 -0.0519 0.0675
4.8984 3.1133 -2.9939
4.2390 0.0519 0.0675
6.1435 6.0241 -4.2390
2.9939 -1.1932 2.9783
2.9783 2.9939 -1.1932
6.1591 1.8526 -0.0519
3.1133 -2.9939 4.8984
6.0241 -4.2390 6.1435
2.9939 4.8984 -2.9783
6.1435 0.0675 1.8526
6.1435 -0.0675 4.2390
9.0855 1.1932 2.9783
3.1133 2.9939 1.1932
6.0241 4.2390 -0.0519
0.0675 4.2390 0.0519
9.0699 3.0977 1.1932
0.0519 0.0675 4.2390
2.9939 1.1932 3.1133
-1.1932 2.9783 2.9939
4.2390 -0.0519 6.0241
4.2390 6.1435 -0.0675
4.8984 2.9783 3.0977
1.1932 3.1133 2.9939
1.8526 -0.0519 6.1591
1.8526 6.1435 0.0675
7.2848 3.1133 3.0977
3.0977 4.8984 2.9783
6.0397 6.0241 1.8526
-2.9783 2.9939 4.8984
6.0241 1.8526 6.0397
0.0675 1.8526 6.1435
2.9783 3.0977 4.8984
-2.9939 4.8984 3.1133
-0.0519 6.1591 1.8526
-0.0519 6.0241 4.2390
3.0977 1.1932 9.0699
0.0675 10.3306 -0.0519
2.9783 9.0855 1.1932
-0.0675 4.2390 6.1435
3.1133 3.0977 7.2848
3.0977 7.2848 3.1133
-0.0519 0.0675 10.3306
1.8526 6.0397 6.0241
1.1932 2.9783 9.0855
-4.2390 6.1435 6.0241
1.1932 9.0699 3.0977

---

Record 9
GGA+U GaCo2O, optimized geometry; magnetization = 0.75 μB/atom; excess energy over the best structure of this formula in the dataset = 0.0 meV/atom; DOS at the Fermi energy = 2.3 states/eV/cell; mass density = 5646 kg/m³; space group = I-42d (122)
1.0
4.7354 0.0000 0.0000
0.0000 4.7354 0.0000
0.0000 0.0000 10.6811
Ga Co O
4 8 4
Cartesian
0.0000 0.0000 0.0000
0.0000 2.3677 2.6703
2.3677 0.0000 8.0108
2.3677 2.3677 5.3406
0.6189 1.1839 6.6757
1.1839 2.9867 9.3460
1.1839 4.1165 4.0054
1.7488 1.1839 1.3351
2.9867 3.5516 1.3351
3.5516 0.6189 4.0054
3.5516 1.7488 9.3460
4.1165 3.5516 6.6757
0.0000 0.0000 5.3406
0.0000 2.3677 8.0108
2.3677 0.0000 2.6703
2.3677 2.3677 0.0000

---

Record 10
GGA+U GaCoOsO6, optimized geometry; magnetization = 0.24 μB/atom; E_tot = -6.57 eV/atom; DOS at the Fermi energy = 5.5 states/eV/cell; mass density = 7036 kg/m³; space group = P-31c (163)
1.0
5.0648 0.0000 0.0000
-2.5324 4.3863 0.0000
0.0000 0.0000 8.8153
Ga Co Os O
2 2 2 12
Cartesian
0.0000 2.9242 2.2038
2.5324 1.4621 6.6115
0.0000 0.0000 0.0000
0.0000 0.0000 4.4077
0.0000 2.9242 6.6115
2.5324 1.4621 2.2038
-0.8389 1.5645 5.5614
-1.5970 2.8775 7.6616
0.8389 1.5645 7.6616
-0.7581 4.3305 5.5614
1.7743 0.0557 1.1537
0.9354 1.5087 3.2540
1.5970 2.8775 5.5614
0.7581 4.3305 7.6616
3.2905 0.0557 3.2540
1.6935 2.8218 1.1537
4.1294 1.5087 1.1537
3.3713 2.8218 3.2540

---

Record 11
GGA+U Ga2CoOsO8, optimized geometry; magnetization = 0.23 μB/atom; E_tot = -6.40 eV/atom; DOS at the Fermi energy = 1.4 states/eV/cell; mass density = 6679 kg/m³; space group = Cmmm (65)
1.0
3.1648 -3.3468 0.0000
3.1648 3.3468 0.0000
0.0000 0.0000 6.0633
Ga Co Os O
2 1 1 8
Cartesian
0.0000 0.0000 1.4573
0.0000 0.0000 4.6061
3.1648 0.0000 0.0000
3.1648 0.0000 3.0317
1.2517 0.0000 3.0317
1.2715 0.0000 0.0000
3.1648 1.2830 1.6638
3.1648 1.2830 4.3995
3.1648 -1.2830 1.6638
3.1648 -1.2830 4.3995
5.0581 0.0000 0.0000
5.0779 0.0000 3.0317

---

Record 12
GGA+U Ga2CoPO6, optimized geometry; magnetization = 0.20 μB/atom; E_tot = -6.27 eV/atom; DOS at the Fermi energy = 3.4 states/eV/cell; mass density = 4394 kg/m³; space group = C2/c (15)
1.0
4.5196 -5.5260 0.0000
4.5196 5.5260 0.0000
-2.3104 0.0000 4.9226
Ga Co P O
4 2 2 12
Cartesian
0.8363 0.9187 0.7817
-0.3189 -0.9187 3.2430
7.0477 0.9187 1.6796
5.8925 -0.9187 4.1409
2.7868 0.9031 3.6920
3.9420 -0.9031 1.2307
3.9420 2.0516 1.2307
2.7868 -2.0516 3.6920
-0.0116 0.7253 2.4275
1.3655 2.8461 4.8637
-1.1668 -0.7253 4.8888
2.7225 1.0973 1.5320
4.2081 2.8461 2.5202
1.5673 -1.0973 3.9933
5.1615 1.0973 0.9293
2.5207 -2.8461 2.4024
4.0063 -1.0973 3.3906
7.8956 0.7253 0.0338
5.3633 -2.8461 0.0589
6.7404 -0.7253 2.4951

---

Record 13
GGA+U GaCoPO2, optimized geometry; magnetization = 0.85 μB/atom; excess energy over the best structure of this formula in the dataset = 126.0 meV/atom; DOS at the Fermi energy = 2.4 states/eV/cell; mass density = 4132 kg/m³; space group = P4/mmm (123)
1.0
3.6480 0.0000 0.0000
0.0000 3.6480 0.0000
0.0000 0.0000 5.7876
Ga Co P O
1 1 1 2
Cartesian
0.0000 0.0000 0.0000
1.8240 1.8240 2.8938
0.0000 0.0000 2.8938
0.0000 1.8240 0.0000
1.8240 0.0000 0.0000

---

Record 14
GGA+U GaCoPO2, optimized geometry; magnetization = 0.51 μB/atom; excess energy over the best structure of this formula in the dataset = 0.0 meV/atom; DOS at the Fermi energy = 1.8 states/eV/cell; mass density = 4928 kg/m³; space group = P4/mmm (123)
1.0
3.6278 0.0000 0.0000
0.0000 3.6278 0.0000
0.0000 0.0000 4.9058
Ga Co P O
1 1 1 2
Cartesian
0.0000 0.0000 0.0000
1.8139 1.8139 2.4529
1.8139 1.8139 0.0000
0.0000 1.8139 2.4529
1.8139 0.0000 2.4529

---

Record 15
GGA+U PaGaCoO6, optimized geometry; magnetization = 0.11 μB/atom; E_tot = -7.27 eV/atom; mass density = 7213 kg/m³; space group = P4_2nm (102)
1.0
4.7427 0.0000 0.0000
0.0000 4.7427 0.0000
0.0000 0.0000 9.3274
Pa Ga Co O
2 2 2 12
Cartesian
0.0000 0.0000 0.0000
2.3713 2.3713 4.6637
0.0000 0.0000 6.2015
2.3713 2.3713 1.5378
0.0000 0.0000 3.1040
2.3713 2.3713 7.7677
0.8359 0.8359 4.5926
0.9428 0.9428 1.6851
1.0179 1.0179 7.7003
1.3534 3.3893 3.0366
1.4285 3.3142 6.3488
1.5355 3.2072 9.2563
3.2072 1.5355 9.2563
3.3142 1.4285 6.3488
3.3893 1.3534 3.0366
3.7247 3.7247 7.7003
3.7998 3.7998 1.6851
3.9068 3.9068 4.5926

---

Record 16
GGA+U GaCoPdO4, optimized geometry; magnetization = 0.30 μB/atom; E_tot = -5.80 eV/atom; DOS at the Fermi energy = 3.4 states/eV/cell; mass density = 6217 kg/m³; space group = Imma (74)
1.0
-3.0443 3.1058 4.2242
3.0443 -3.1058 4.2242
3.0443 3.1058 -4.2242
Ga Co Pd O
2 2 2 8
Cartesian
-1.5222 1.5529 2.1121
1.5222 1.5529 2.1121
3.0443 1.5529 -1.0577
0.0000 1.5529 5.2819
0.0000 0.0000 0.0000
0.0000 3.1058 0.0000
1.4666 1.5529 0.1192
1.5777 -1.5529 4.3435
0.0000 0.1778 2.0716
3.0443 0.1778 2.1526
0.0000 2.9280 2.0716
3.0443 2.9280 2.1526
1.4666 4.6587 -0.1192
1.5777 1.5529 4.1050

---

Record 17
GGA+U PmGa4Co3O12, optimized geometry; magnetization = 0.30 μB/atom; E_tot = -6.23 eV/atom; mass density = 6435 kg/m³; space group = Im-3 (204)
1.0
-3.7119 3.7119 3.7119
3.7119 -3.7119 3.7119
3.7119 3.7119 -3.7119
Pm Ga Co O
1 4 3 12
Cartesian
0.0000 0.0000 0.0000
1.8559 1.8559 -1.8559
1.8559 -1.8559 1.8559
-1.8559 1.8559 1.8559
1.8559 1.8559 1.8559
3.7119 0.0000 0.0000
0.0000 3.7119 0.0000
0.0000 0.0000 3.7119
3.7119 -1.4103 2.4442
2.3016 1.2676 0.0000
5.1221 1.2676 0.0000
2.4442 3.7119 -1.4103
1.2676 0.0000 2.3016
0.0000 2.3016 1.2676
3.7119 1.4103 2.4442
2.4442 3.7119 1.4103
1.2676 0.0000 5.1221
-1.4103 2.4442 3.7119
1.4103 2.4442 3.7119
0.0000 5.1221 1.2676